Record 1
The following is a DFT calculation (GGA-PBE) of a relaxed CdPdSO crystal.

## Properties
* offset from the most stable computed form: 5 meV per atom
* total energy: -4.275 eV/atom

a b c (Å): 6.2652 7.6479 6.1594
angles (deg): 90.00 90.00 90.00
Sites, in units of the cell vectors:
O: 0.6206 0.1398 0.1081
O: 0.3794 0.6398 0.3919
O: 0.8794 0.8602 0.6081
O: 0.1206 0.3602 0.8919
Pd: 0.2451 0.5081 0.1388
Pd: 0.7451 0.9919 0.8612
Pd: 0.7549 0.0081 0.3612
Pd: 0.2549 0.4919 0.6388
S: 0.0095 0.8958 0.1129
S: 0.4905 0.1042 0.6129
S: 0.9905 0.3958 0.3871
S: 0.5095 0.6042 0.8871
Cd: 0.7736 0.3648 0.9239
Cd: 0.7264 0.6352 0.4239
Cd: 0.2736 0.1352 0.0761
Cd: 0.2264 0.8648 0.5761

Record 2
The following is a DFT calculation (GGA-PBE) of a relaxed CdPdSO crystal.

## Properties
* offset from the most stable computed form: 242 meV per atom
* total energy: -4.038 eV/atom

a b c (Å): 4.4055 4.4055 7.0049
angles (deg): 90.00 90.00 90.00
Sites, in units of the cell vectors:
Pd: 0.2500 0.7500 0.0000
Pd: 0.7500 0.2500 0.0000
S: 0.7500 0.7500 0.7722
S: 0.2500 0.2500 0.2278
O: 0.7500 0.7500 0.5497
O: 0.2500 0.2500 0.4503
Cd: 0.2500 0.2500 0.7572
Cd: 0.7500 0.7500 0.2428

Record 3
The following is a DFT calculation (GGA-PBE) of a relaxed CdPdSO crystal.

## Properties
* offset from the most stable computed form: 388 meV per atom
* total energy: -3.892 eV/atom

a b c (Å): 4.6136 4.6136 6.8944
angles (deg): 90.00 90.00 90.00
Sites, in units of the cell vectors:
Pd: 0.7500 0.7500 0.4113
Pd: 0.2500 0.2500 0.5887
Cd: 0.7500 0.7500 0.8178
Cd: 0.2500 0.2500 0.1822
S: 0.7500 0.2500 0.5000
S: 0.2500 0.7500 0.5000
O: 0.2500 0.2500 0.8871
O: 0.7500 0.7500 0.1129

Record 4
The following is a DFT calculation (GGA-PBE) of a relaxed CdPdSO crystal.

## Properties
* offset from the most stable computed form: 318 meV per atom
* total energy: -3.962 eV/atom

a b c (Å): 3.4771 3.4771 10.1562
angles (deg): 90.00 90.00 90.00
Sites, in units of the cell vectors:
S: 0.7500 0.2500 0.5000
S: 0.2500 0.7500 0.5000
O: 0.2500 0.2500 0.0972
O: 0.7500 0.7500 0.9028
Cd: 0.2500 0.2500 0.8726
Cd: 0.7500 0.7500 0.1274
Pd: 0.7500 0.7500 0.6892
Pd: 0.2500 0.2500 0.3108

Record 5
The following is a DFT calculation (GGA-PBE) of a relaxed CdPdSO crystal.

## Properties
* offset from the most stable computed form: 124 meV per atom
* total energy: -4.157 eV/atom

a b c (Å): 3.6450 5.9152 6.1009
angles (deg): 90.00 72.62 90.00
Sites, in units of the cell vectors:
Pd: 0.9950 0.3119 0.0099
Pd: 0.0050 0.8119 0.9901
O: 0.1307 0.5543 0.7385
O: 0.8693 0.0543 0.2615
Cd: 0.2654 0.9533 0.4692
Cd: 0.7346 0.4533 0.5308
S: 0.5927 0.0731 0.8147
S: 0.4073 0.5731 0.1853

Record 6
The following is a DFT calculation (GGA-PBE) of a relaxed CdPdSO crystal.

## Properties
* offset from the most stable computed form: 113 meV per atom
* total energy: -4.167 eV/atom

a b c (Å): 6.2690 7.3676 5.7725
angles (deg): 90.00 90.00 90.00
Sites, in units of the cell vectors:
S: 0.0680 0.3622 0.3731
S: 0.9320 0.6378 0.8731
S: 0.4320 0.3622 0.8731
S: 0.5680 0.6378 0.3731
Cd: 0.3703 0.7011 0.8803
Cd: 0.8703 0.2989 0.8803
Cd: 0.1297 0.7011 0.3803
Cd: 0.6297 0.2989 0.3803
O: 0.1332 0.9899 0.3730
O: 0.6332 0.0101 0.3730
O: 0.8668 0.0101 0.8730
O: 0.3668 0.9899 0.8730
Pd: 0.2485 0.1625 0.6236
Pd: 0.7515 0.8375 0.1236
Pd: 0.2515 0.1625 0.1236
Pd: 0.7485 0.8375 0.6236

Q: offset from the most stable computed form of number 1 (CdPdSO)?
A: 5 meV per atom

Q: offset from the most stable computed form of number 5 (CdPdSO)?
A: 124 meV per atom

Q: What is the formula in the second record?
A: CdPdSO

Q: Among the records above, which one has the lowest offset from the most stable computed form?
A: number 1